# 1
Compound: CeSm2YCo2
Source: the Alexandria database
Functional: PBE-GGA
Structure: relaxed

Unit cell a=6.8632 b=12.8157 c=6.7036 alpha=90.00 beta=90.00 gamma=90.00
Last column: nearest neighbours and their distance in Å.
Space group Ibam (No. 72)
Symmetry-distinct sites (fractional):
Ce (0.0000, 0.0000, 0.2500)  4 Co 2.52
Sm (0.2020, 0.2013, 0.0000)  1 Co 2.70
Y (0.0000, 0.5000, 0.2500)  4 Co 2.86
Co (0.2108, 0.0936, 0.5000)  2 Ce 2.52, 1 Sm 2.70

Calculated values
**DOS at the Fermi energy**: 28.8 states/eV/cell
**Magnetic moment**: 0.0000 μB/atom
**Energy**: -6.111 eV/atom
**Energy of formation from the pure elements**: -2.38 kcal/mol of atoms

# 2
Compound: SrSi2Br
Source: the Alexandria database
Functional: PBE-GGA
Structure: relaxed

Unit cell a=3.9345 b=6.3785 c=4.8041 alpha=90.00 beta=91.42 gamma=90.00
Last column: nearest neighbours and their distance in Å.
Space group P2/m (No. 10)
Symmetry-distinct sites (fractional):
Sr (0.0000, 0.0000, 0.0000)  4 Br 3.07-3.14, 4 Si 3.39
Si (0.2456, 0.5000, 0.8754)  2 Si 2.30-2.31
Br (0.5000, 0.0000, 0.5000)  4 Sr 3.07-3.14

Calculated values
**Formation energy from raw total energies**: -378 meV per atom
**DOS at the Fermi energy**: 1.4 states/eV/cell
**Magnetic moment**: 0.0000 μB/atom
**Energy**: -3.928 eV/atom
**Relative energy among the computed polymorphs**: 0.2742 eV per atom

# 3
Compound: Ag3Sn5Se12
Source: the Alexandria database
Functional: PBE-GGA
Structure: relaxed

Unit cell a=16.4408 b=16.4408 c=16.4408 alpha=90.00 beta=90.00 gamma=90.00
Last column: nearest neighbours and their distance in Å.
Space group Ia-3d (No. 230)
Symmetry-distinct sites (fractional):
Ag (0.0000, 0.2500, 0.1250)  8 Se 3.05-3.14
Sn (0.0000, 0.0000, 0.0000)  6 Se 2.74
Sn (0.0000, 0.2500, 0.3750)  4 Se 2.59
Se (0.0235, 0.0681, 0.6506)  2 Sn 2.59-2.74

Calculated values
**Formation energy from raw total energies**: -117 meV per atom
**DOS at the Fermi energy**: 122.8 states/eV/cell
**Magnetic moment**: 0.0000 μB/atom
**Energy**: -3.636 eV/atom

# 4
Compound: Li2DyYSe4
Source: the Alexandria database
Functional: PBE-GGA
Structure: relaxed

Unit cell a=6.9093 b=4.0721 c=7.0498 alpha=90.00 beta=109.85 gamma=90.00
Last column: nearest neighbours and their distance in Å.
Space group P2/m (No. 10)
Symmetry-distinct sites (fractional):
Li (0.0000, 0.0000, 0.0000)  6 Se 2.84-2.85
Li (0.0000, 0.5000, 0.5000)  6 Se 2.84
Dy (0.5000, 0.0000, 0.5000)  6 Se 2.87
Y (0.5000, 0.5000, 0.0000)  6 Se 2.87
Se (0.2464, 0.0000, 0.7487)  3 Li 2.84, 1 Dy 2.87, 2 Y 2.87
Se (0.2467, 0.5000, 0.2494)  3 Li 2.84-2.85, 2 Dy 2.87, 1 Y 2.87

Calculated values
**Formation energy from raw total energies**: -1701 meV per atom
**DOS at the Fermi energy**: 0.0 states/eV/cell
**Magnetic moment**: 0.0000 μB/atom
**Energy**: -5.305 eV/atom

# 5
Compound: Tl2InAu
Source: the Alexandria database
Functional: PBE-GGA
Structure: relaxed

Unit cell a=6.5371 b=8.3292 c=3.9197 alpha=90.00 beta=90.86 gamma=90.00
Last column: nearest neighbours and their distance in Å.
Space group C2/m (No. 12)
Symmetry-distinct sites (fractional):
Tl (0.2500, 0.2500, 0.0000)  2 Tl 3.27, 4 In 3.28-3.31, 4 Au 3.28-3.31
In (0.0000, 0.0000, 0.5000)  2 Au 3.27, 8 Tl 3.28-3.31
Au (0.0000, 0.5000, 0.5000)  2 In 3.27, 8 Tl 3.28-3.31

Calculated values
**DOS at the Fermi energy**: 3.7 states/eV/cell
**Magnetic moment**: 0.0000 μB/atom
**Energy**: -2.633 eV/atom
**Energy of formation from the pure elements**: 1.25 kcal/mol of atoms
**Relative energy among the computed polymorphs**: 0.1009 eV per atom

# 6
Compound: CeY2Se4
Source: the Alexandria database
Functional: PBE-GGA
Structure: relaxed

Unit cell a=4.0609 b=13.4973 c=13.8605 alpha=90.00 beta=90.00 gamma=90.00
Last column: nearest neighbours and their distance in Å.
Space group Cmcm (No. 63)
Symmetry-distinct sites (fractional):
Ce (0.0000, 0.1208, 0.2500)  6 Se 2.98-3.06
Y (0.0000, 0.3684, 0.0663)  6 Se 2.83-2.90
Se (0.0000, 0.0000, 0.0000)  4 Y 2.85
Se (0.0000, 0.2732, 0.6211)  3 Y 2.89-2.90, 2 Ce 3.06
Se (0.0000, 0.4591, 0.2500)  2 Y 2.83, 2 Ce 2.98

Calculated values
**Formation energy from raw total energies**: -1863 meV per atom
**DOS at the Fermi energy**: 28.3 states/eV/cell
**Magnetic moment**: 0.1905 μB/atom
**Energy**: -6.549 eV/atom

# 7
Compound: SrZnW
Source: the Alexandria database
Functional: PBE-GGA
Structure: relaxed

Unit cell a=5.0515 b=5.0515 c=2.8759 alpha=90.00 beta=90.00 gamma=120.00
Last column: nearest neighbours and their distance in Å.
Space group P-6m2 (No. 187)
Symmetry-distinct sites (fractional):
Sr (0.0000, 0.0000, 0.0000)  2 Sr 2.88
Zn (0.3333, 0.6667, 0.5000)  2 Zn 2.88, 3 W 2.92
W (0.6667, 0.3333, 0.5000)  2 W 2.88, 3 Zn 2.92

Calculated values
**DOS at the Fermi energy**: 3.4 states/eV/cell
**Magnetic moment**: 0.1018 μB/atom
**Energy**: -4.337 eV/atom
**Energy of formation from the pure elements**: 22.27 kcal/mol of atoms
**Relative energy among the computed polymorphs**: 0.1392 eV per atom

# 8
Compound: RbBa3Cu4Cl12
Source: the Alexandria database
Functional: PBE-GGA
Structure: relaxed

Unit cell a=14.7363 b=14.7363 c=11.7187 alpha=90.00 beta=90.00 gamma=120.00
Last column: nearest neighbours and their distance in Å.
Space group R32 (No. 155, hexagonal axes)
Symmetry-distinct sites (fractional):
Rb (0.0000, 0.0000, 0.0000)  6 Cl 3.45
Ba (0.0000, 0.5416, 0.0000)  6 Cl 3.07-3.13
Cu (0.0000, 0.0000, 0.5000)  3 Cl 2.22
Cu (0.0000, 0.4486, 0.5000)  3 Cl 2.20-2.29
Cl (0.0000, 0.6040, 0.5000)  1 Cu 2.29
Cl (0.0000, 0.8495, 0.5000)  1 Cu 2.22
Cl (0.0180, 0.1909, 0.1838)  1 Cu 2.20

Calculated values
**Formation energy from raw total energies**: -1509 meV per atom
**DOS at the Fermi energy**: 42.3 states/eV/cell
**Magnetic moment**: 0.0564 μB/atom
**Energy**: -3.773 eV/atom

> Which value of DOS at the Fermi energy does entry 5 give?

3.7 states/eV/cell